# Zr2V3Ge4

Zr2V3Ge4 after structural relaxation (GGA-PBEsol, Alexandria).

The calculation puts the density of states at the Fermi level at 18.81 states/eV per cell. The calculation puts the volume at 555.1 Å³ per cell. As for the energy of formation: -0.6926 eV per atom.

Cell: 6.574 6.682 12.638 Å, 90.00 90.00 90.00°
Element x y z (fractional)
1 Zr 0.511 0.328 0.092
2 Zr 0.011 0.172 0.408
3 Zr 0.489 0.672 0.592
4 Zr 0.989 0.828 0.908
5 Zr 0.489 0.672 0.908
6 Zr 0.989 0.828 0.592
7 Zr 0.511 0.328 0.408
8 Zr 0.011 0.172 0.092
9 V 0.663 0.990 0.250
10 V 0.163 0.510 0.250
11 V 0.337 0.010 0.750
12 V 0.837 0.490 0.750
13 V 0.338 0.839 0.126
14 V 0.838 0.661 0.374
15 V 0.662 0.161 0.626
16 V 0.162 0.339 0.874
17 V 0.662 0.161 0.874
18 V 0.162 0.339 0.626
19 V 0.338 0.839 0.374
20 V 0.838 0.661 0.126
21 Ge 0.308 0.144 0.250
22 Ge 0.808 0.356 0.250
23 Ge 0.692 0.856 0.750
24 Ge 0.192 0.644 0.750
25 Ge 0.324 0.046 0.957
26 Ge 0.824 0.454 0.543
27 Ge 0.676 0.954 0.457
28 Ge 0.176 0.546 0.043
29 Ge 0.676 0.954 0.043
30 Ge 0.176 0.546 0.457
31 Ge 0.324 0.046 0.543
32 Ge 0.824 0.454 0.957
33 Ge 0.533 0.627 0.250
34 Ge 0.033 0.873 0.250
35 Ge 0.467 0.373 0.750
36 Ge 0.967 0.127 0.750

***

# Fe2AgBr

Fe2AgBr after structural relaxation (GGA-PBEsol, Alexandria).

The calculation puts the density of states at the Fermi level at 4.17 states/eV per cell. The value obtained for the energy above the most stable polymorph in this dataset is 0.68 eV per formula unit. The calculation puts the volume at 63.1 Å³ per cell. The value obtained for the formation energy without anion corrections is 0.789 eV/atom.

Cell: 3.264 4.399 4.395 Å, 90.00 90.00 90.00°
Last column: magnetic moment on the atom in μB.
Element x y z (fractional)
1 Ag 0.500 0.000 0.500  -0.01
2 Br 0.000 0.500 0.500  0.12
3 Fe 0.000 0.000 0.000  2.90
4 Fe 0.500 0.500 0.000  2.95

***

# Ni5As2

Ni5As2 after structural relaxation (GGA-PBEsol, Alexandria).

The calculation puts the density of states at the Fermi level at 23.03 states/eV per cell. The calculation puts the volume at 483.0 Å³ per cell. As for the energy of formation: -0.2864 eV per atom.

Cell: 6.722 6.722 12.344 Å, 90.00 90.00 120.00°
Element x y z (fractional)
1 As 0.669 0.000 0.002
2 As 0.331 0.331 0.002
3 As 0.000 0.669 0.002
4 As 0.331 0.000 0.502
5 As 0.669 0.669 0.502
6 As 0.000 0.331 0.502
7 As 0.667 0.333 0.729
8 As 0.333 0.667 0.229
9 As 0.667 0.333 0.229
10 As 0.333 0.667 0.729
11 As 0.000 0.000 0.771
12 As 0.000 0.000 0.271
13 Ni 0.000 0.000 0.075
14 Ni 0.000 0.000 0.575
15 Ni 0.667 0.333 0.931
16 Ni 0.333 0.667 0.431
17 Ni 0.667 0.333 0.431
18 Ni 0.333 0.667 0.931
19 Ni 0.252 0.000 0.904
20 Ni 0.748 0.748 0.904
21 Ni 0.000 0.252 0.904
22 Ni 0.748 0.000 0.404
23 Ni 0.252 0.252 0.404
24 Ni 0.000 0.748 0.404
25 Ni 0.625 0.000 0.806
26 Ni 0.375 0.375 0.806
27 Ni 0.000 0.625 0.806
28 Ni 0.375 0.000 0.306
29 Ni 0.625 0.625 0.306
30 Ni 0.000 0.375 0.306
31 Ni 0.310 0.000 0.697
32 Ni 0.690 0.690 0.697
33 Ni 0.000 0.310 0.697
34 Ni 0.690 0.000 0.197
35 Ni 0.310 0.310 0.197
36 Ni 0.000 0.690 0.197
37 Ni 0.626 0.000 0.594
38 Ni 0.374 0.374 0.594
39 Ni 0.000 0.626 0.594
40 Ni 0.374 0.000 0.094
41 Ni 0.626 0.626 0.094
42 Ni 0.000 0.374 0.094

***

- Which formula does entry 2 have?
  Fe2AgBr